{
  "formula": "FeMo2Pt",
  "functional": "SCAN",
  "state": "single point on PBEsol structure",
  "relative_energy_mev_per_atom": 34.6,
  "e_form_ev_per_atom": -0.07,
  "cell": [[-1.613, 0.649, -2.034], [2.825, -1.756, -2.801], [-2.204, -4.198, 0.409]],
  "species": ["Fe", "Pt", "Mo", "Mo"],
  "frac_coords": [[0.375, 0.500, 0.801], [0.375, 0.000, 0.462], [0.875, 0.500, 0.287], [0.875, 0.000, 0.950]]
}



{
  "formula": "Ta2FeMoPt",
  "functional": "SCAN",
  "state": "single point on PBEsol structure",
  "e_form_ev_per_atom": 1.54,
  "cell": [[-4.078, 0.482, 2.331], [-2.377, -0.601, -4.035], [-0.115, -4.666, 0.763]],
  "species": ["Ta", "Ta", "Mo", "Pt", "Fe"],
  "frac_coords": [[0.000, 0.500, 0.000], [0.500, 0.000, 0.000], [0.000, 0.000, 0.000], [0.000, 0.000, 0.500], [0.500, 0.500, 0.500]]
}



{
  "formula": "FeRe2Mo",
  "functional": "SCAN",
  "state": "single point on PBEsol structure",
  "relative_energy_mev_per_atom": 0.0,
  "e_form_ev_per_atom": 0.07,
  "cell": [[-0.592, 3.005, -0.647], [-4.046, -0.973, -0.813], [-0.977, 0.680, 4.052]],
  "species": ["Mo", "Re", "Re", "Fe"],
  "frac_coords": [[0.000, 0.500, 0.500], [0.500, 0.500, 0.000], [0.000, 0.000, 0.000], [0.500, 0.000, 0.500]]
}



Repeat the second record exactly.
{
  "formula": "Ta2FeMoPt",
  "functional": "SCAN",
  "state": "single point on PBEsol structure",
  "e_form_ev_per_atom": 1.54,
  "cell": [[-4.078, 0.482, 2.331], [-2.377, -0.601, -4.035], [-0.115, -4.666, 0.763]],
  "species": ["Ta", "Ta", "Mo", "Pt", "Fe"],
  "frac_coords": [[0.000, 0.500, 0.000], [0.500, 0.000, 0.000], [0.000, 0.000, 0.000], [0.000, 0.000, 0.500], [0.500, 0.500, 0.500]]
}



What did the third record say?
{
  "formula": "FeRe2Mo",
  "functional": "SCAN",
  "state": "single point on PBEsol structure",
  "relative_energy_mev_per_atom": 0.0,
  "e_form_ev_per_atom": 0.07,
  "cell": [[-0.592, 3.005, -0.647], [-4.046, -0.973, -0.813], [-0.977, 0.680, 4.052]],
  "species": ["Mo", "Re", "Re", "Fe"],
  "frac_coords": [[0.000, 0.500, 0.500], [0.500, 0.500, 0.000], [0.000, 0.000, 0.000], [0.500, 0.000, 0.500]]
}